Record 1
ThIn2Pd | the Alexandria database | PBE-GGA | optimized geometry; formation energy from the elements = -52 kJ/mol of atoms; total magnetic moment = 0.00 μB per cell
1.0
-3.661 2.850 1.247
0.218 -1.686 4.493
7.145 5.501 -0.850
Th In Pd
2 4 2
Cartesian
1.518 1.703 0.565
2.185 4.963 4.324
0.109 -0.843 2.246
-1.830 1.425 0.623
3.829 4.294 1.426
-0.126 2.371 3.464
2.821 2.199 3.256
0.882 4.467 1.633

Record 2
ThIn2Pd9 | the Alexandria database | PBE-GGA | optimized geometry; formation energy from the elements = -60 kJ/mol of atoms; total magnetic moment = 0.00 μB per cell
1.0
4.132 0.000 0.000
0.000 4.132 0.000
0.000 0.000 12.132
Th In Pd
1 2 9
Cartesian
0.000 0.000 0.000
0.000 0.000 4.145
0.000 0.000 7.986
2.066 2.066 0.000
2.066 2.066 4.069
2.066 2.066 8.062
2.066 0.000 2.105
2.066 0.000 6.066
2.066 0.000 10.026
0.000 2.066 2.105
0.000 2.066 6.066
0.000 2.066 10.026